(1)
First-principles (PBE-GGA) data for a geometry-optimized PrSm4Y6 structure, as listed in the Alexandria database.

ΔH_f (0 K): 0.1664 eV/atom
energy above the most stable polymorph in this dataset: 57 meV/atom

a = 11.0749 Å, b = 11.0749 Å, c = 3.5928 Å
α = 90.00°, β = 90.00°, γ = 120.00°
Space group P-6m2 (No. 187)
One atom of each set of equivalent atoms:
Pr 0.0000 0.0000 0.0000
Sm 0.3333 0.6667 0.0000
Sm 0.3347 0.1674 0.5000
Y 0.1814 0.3628 0.5000
Y 0.5116 0.0232 0.0000

=====

(2)
First-principles (PBE-GGA) data for a geometry-optimized Ba2Si2Br structure, as listed in the Alexandria database.

ΔE_f (raw): -0.5908 eV per atom
energy above the most stable polymorph in this dataset: 347 meV/atom

a = 3.9595 Å, b = 3.9595 Å, c = 19.4275 Å
α = 90.00°, β = 90.00°, γ = 90.00°
Space group I4/mmm (No. 139)
One atom of each set of equivalent atoms:
Ba 0.0000 0.0000 0.1156
Si 0.0000 0.5000 0.2500
Br 0.0000 0.0000 0.5000

=====

(3)
First-principles (PBE-GGA) data for a geometry-optimized Ba2Zr2Ni structure, as listed in the Alexandria database.

ΔH_f (0 K): 0.5267 eV/atom

a = 3.9599 Å, b = 3.9599 Å, c = 21.3721 Å
α = 90.00°, β = 90.00°, γ = 90.00°
Space group I4/mmm (No. 139)
One atom of each set of equivalent atoms:
Ba 0.0000 0.0000 0.0858
Zr 0.0000 0.5000 0.2500
Ni 0.0000 0.0000 0.5000

=====

(4)
First-principles (PBE-GGA) data for a geometry-optimized Y2Mn2Be structure, as listed in the Alexandria database.

ΔH_f (0 K): 0.2358 eV/atom

a = 6.5230 Å, b = 6.5230 Å, c = 4.3148 Å
α = 90.00°, β = 90.00°, γ = 90.00°
Space group P4/mbm (No. 127)
One atom of each set of equivalent atoms:
Y 0.1804 0.3196 0.0000
Mn 0.1238 0.6238 0.5000
Be 0.0000 0.0000 0.5000

=====

(5)
First-principles (PBE-GGA) data for a geometry-optimized HoPaTi structure, as listed in the Alexandria database.

ΔH_f (0 K): 0.4759 eV/atom

a = 4.5909 Å, b = 4.5909 Å, c = 7.2600 Å
α = 90.00°, β = 90.00°, γ = 90.00°
Space group P4/nmm (No. 129, origin choice 2)
One atom of each set of equivalent atoms:
Ho 0.2500 0.2500 0.1663
Pa 0.2500 0.2500 0.6951
Ti 0.2500 0.7500 0.5000

=====

(6)
First-principles (PBE-GGA) data for a geometry-optimized Ba4InSb structure, as listed in the Alexandria database.

ΔE_f (raw): 0.1359 eV per atom

a = 10.1625 Å, b = 10.1625 Å, c = 10.1625 Å
α = 90.00°, β = 90.00°, γ = 90.00°
Space group F-43m (No. 216)
One atom of each set of equivalent atoms:
Ba 0.1239 0.1239 0.3761
In 0.0000 0.0000 0.0000
Sb 0.2500 0.2500 0.7500

=====

(7)
First-principles (PBE-GGA) data for a geometry-optimized Pm6Pr3Dy2Er structure, as listed in the Alexandria database.

ΔH_f (0 K): 0.0173 eV/atom

a = 6.3056 Å, b = 10.9249 Å, c = 12.0408 Å
α = 90.00°, β = 100.07°, γ = 90.00°
Space group C2/m (No. 12)
One atom of each set of equivalent atoms:
Pm 0.2490 0.0000 0.2448
Pm 0.2486 0.3335 0.2448
Pr 0.0000 0.0000 0.5000
Pr 0.0000 0.3334 0.5000
Dy 0.0000 0.1667 0.0000
Er 0.0000 0.5000 0.0000

=====

(8)
First-principles (PBE-GGA) data for a geometry-optimized CePm3Rh8 structure, as listed in the Alexandria database.

ΔH_f (0 K): -0.6859 eV/atom

a = 5.3924 Å, b = 5.3924 Å, c = 26.3792 Å
α = 90.00°, β = 90.00°, γ = 120.00°
Space group R3m (No. 160, hexagonal axes)
One atom of each set of equivalent atoms:
Ce 0.0000 0.0000 0.0000
Pm 0.0000 0.0000 0.1249
Pm 0.0000 0.0000 0.4996
Pm 0.0000 0.0000 0.6247
Rh 0.0000 0.0000 0.3123
Rh 0.0000 0.0000 0.8123
Rh 0.0014 0.5007 0.5630
Rh 0.1675 0.3349 0.3950

=====

(9)
First-principles (PBE-GGA) data for a geometry-optimized Li2ReNi structure, as listed in the Alexandria database.

ΔH_f (0 K): 0.2251 eV/atom
energy above the most stable polymorph in this dataset: 116 meV/atom

a = 2.5119 Å, b = 2.5119 Å, c = 8.3903 Å
α = 90.00°, β = 90.00°, γ = 90.00°
Space group P4/mmm (No. 123)
One atom of each set of equivalent atoms:
Li 0.0000 0.0000 0.2320
Re 0.5000 0.5000 0.5000
Ni 0.5000 0.5000 0.0000

=====

(10)
First-principles (PBE-GGA) data for a geometry-optimized LaPaBr structure, as listed in the Alexandria database.

ΔE_f (raw): -0.6929 eV per atom

a = 12.0337 Å, b = 5.3909 Å, c = 5.9359 Å
α = 90.00°, β = 102.31°, γ = 90.00°
Space group P2_1/c (No. 14)
One atom of each set of equivalent atoms:
La 0.2389 0.0082 0.1297
Pa 0.0112 0.7388 0.1341
Br 0.3720 0.5043 0.1944

=====

(11)
First-principles (PBE-GGA) data for a geometry-optimized Ho3Tm3Mg2 structure, as listed in the Alexandria database.

ΔH_f (0 K): 0.0882 eV/atom

a = 5.2414 Å, b = 11.5185 Å, c = 15.5701 Å
α = 90.00°, β = 90.00°, γ = 90.00°
Space group Cmcm (No. 63)
One atom of each set of equivalent atoms:
Ho 0.0000 0.0303 0.2500
Ho 0.0000 0.1457 0.5326
Tm 0.0000 0.2517 0.7500
Tm 0.0000 0.4518 0.6003
Mg 0.0000 0.2803 0.1470

=====

(12)
First-principles (PBE-GGA) data for a geometry-optimized Er6Mg5Hg structure, as listed in the Alexandria database.

ΔH_f (0 K): -0.1355 eV/atom

a = 5.3133 Å, b = 15.9919 Å, c = 7.4318 Å
α = 90.00°, β = 90.00°, γ = 90.00°
Space group Cmmm (No. 65)
One atom of each set of equivalent atoms:
Er 0.0000 0.0000 0.2463
Er 0.0000 0.3356 0.2499
Mg 0.0000 0.1680 0.5000
Mg 0.0000 0.1727 0.0000
Mg 0.0000 0.5000 0.5000
Hg 0.0000 0.5000 0.0000